# Nd4Se3Br, optimized geometry, DFT PBE
# VASP energy = -5.539 eV per atom
data_Nd4Se3Br
_chemical_formula_sum 'Nd12 Se9 Br3'
_cell_length_a 4.1870
_cell_length_b 4.1870
_cell_length_c 43.4332
_cell_angle_alpha 90.00
_cell_angle_beta 90.00
_cell_angle_gamma 120.00
_symmetry_space_group_name_H-M 'R -3 m'
_symmetry_Int_Tables_number 166
_symmetry_space_group_name_Hall '-R 3 2"'
loop_
_atom_site_label
_atom_site_type_symbol
_atom_site_fract_x
_atom_site_fract_y
_atom_site_fract_z
Nd1 Nd 0.0000 0.0000 0.1175
Nd2 Nd 0.0000 0.0000 0.3756
Se1 Se 0.0000 0.0000 0.0000
Se2 Se 0.0000 0.0000 0.2527
Br1 Br 0.0000 0.0000 0.5000

# Sr3PmPa2P6, optimized geometry, DFT PBE
# VASP energy = -6.395 eV per atom
data_Sr3PmPa2P6
_chemical_formula_sum 'Sr6 Pm2 Pa4 P12'
_cell_length_a 7.214
_cell_length_b 12.493
_cell_length_c 7.346
_cell_angle_alpha 90.00
_cell_angle_beta 109.12
_cell_angle_gamma 90.00
_symmetry_space_group_name_H-M 'C 1 2/m 1'
_symmetry_Int_Tables_number 12
loop_
_symmetry_equiv_pos_as_xyz
'x,y,z'
'-x,-y,-z'
'-x,y,-z'
'x,-y,z'
'x+1/2,y+1/2,z'
'-x+1/2,-y+1/2,-z'
'-x+1/2,y+1/2,-z'
'x+1/2,-y+1/2,z'
loop_
_atom_site_label
_atom_site_type_symbol
_atom_site_fract_x
_atom_site_fract_y
_atom_site_fract_z
Sr1 Sr 0.000 0.000 0.000
Sr2 Sr 0.000 0.336 0.000
Pm1 Pm 0.000 0.500 0.500
Pa1 Pa 0.000 0.167 0.500
P1 P 0.225 0.000 0.717
P2 P 0.246 0.326 0.717

# Tm2Ga2Pt, optimized geometry, DFT PBE
# VASP energy = -5.119 eV per atom
data_Tm2Ga2Pt
_chemical_formula_sum 'Tm8 Ga8 Pt4'
_cell_length_a 10.493
_cell_length_b 4.275
_cell_length_c 10.399
_cell_angle_alpha 90.00
_cell_angle_beta 116.45
_cell_angle_gamma 90.00
_symmetry_space_group_name_H-M 'C 1 2/m 1'
_symmetry_Int_Tables_number 12
loop_
_symmetry_equiv_pos_as_xyz
'x,y,z'
'-x,-y,-z'
'-x,y,-z'
'x,-y,z'
'x+1/2,y+1/2,z'
'-x+1/2,-y+1/2,-z'
'-x+1/2,y+1/2,-z'
'x+1/2,-y+1/2,z'
loop_
_atom_site_label
_atom_site_type_symbol
_atom_site_fract_x
_atom_site_fract_y
_atom_site_fract_z
Tm1 Tm 0.006 0.000 0.327
Tm2 Tm 0.187 0.000 0.118
Ga1 Ga 0.029 0.500 0.890
Ga2 Ga 0.143 0.500 0.551
Pt1 Pt 0.224 0.500 0.334

# KOs2Cl, optimized geometry, DFT PBE
# distance to the lowest polymorph of the same formula = 102 meV per atom
data_KOs2Cl
_chemical_formula_sum 'K1 Os2 Cl1'
_cell_length_a 2.920
_cell_length_b 3.477
_cell_length_c 8.223
_cell_angle_alpha 90.00
_cell_angle_beta 90.00
_cell_angle_gamma 90.00
_symmetry_space_group_name_H-M 'P m m 2'
_symmetry_Int_Tables_number 25
loop_
_symmetry_equiv_pos_as_xyz
'x,y,z'
'-x,-y,z'
'-x,y,z'
'x,-y,z'
loop_
_atom_site_label
_atom_site_type_symbol
_atom_site_fract_x
_atom_site_fract_y
_atom_site_fract_z
K1 K 0.000 0.000 0.000
Os1 Os 0.000 0.000 0.482
Os2 Os 0.500 0.500 0.346
Cl1 Cl 0.500 0.500 0.762